Entry from the Alexandria database: a relaxed structure of CePuSbSe (PBE-GGA).

Summary:
- Calculated density: 8.35 g/cm³
- Space group: P4/mmm
- ΔE_f (raw): -4.90 eV/f.u.

a = 4.344 Å, b = 4.344 Å, c = 6.164 Å
α = 90.00°, β = 90.00°, γ = 90.00°
Element x y z (fractional)
Ce: 0.000 0.000 0.000
Pu: 0.500 0.500 0.500
Sb: 0.000 0.000 0.500
Se: 0.500 0.500 0.000

Entry from the Alexandria database: a relaxed structure of Ce2SmPuSb5 (PBE-GGA).

Summary:
- Calculated density: 6.25 g/cm³
- Space group: P4/mmm
- ΔE_f (raw): -0.99 eV/f.u.

a = 5.428 Å, b = 5.428 Å, c = 11.582 Å
α = 90.00°, β = 90.00°, γ = 90.00°
Element x y z (fractional)
Ce: 0.000 0.000 0.196
Ce: 0.000 0.000 0.804
Sm: 0.500 0.500 0.000
Pu: 0.500 0.500 0.500
Sb: 0.000 0.000 0.500
Sb: 0.000 0.500 0.000
Sb: 0.500 0.000 0.000
Sb: 0.500 0.500 0.251
Sb: 0.500 0.500 0.749

Entry from the Alexandria database: a relaxed structure of CeSmPu2Sb4 (PBE-GGA).

Summary:
- Calculated density: 8.37 g/cm³
- Space group: P2/m
- ΔE_f (raw): -6.84 eV/f.u.

a = 7.713 Å, b = 4.468 Å, c = 7.728 Å
α = 90.00°, β = 109.49°, γ = 90.00°
Element x y z (fractional)
Ce: 0.000 0.000 0.000
Sm: 0.000 0.500 0.500
Pu: 0.500 0.000 0.500
Pu: 0.500 0.500 0.000
Sb: 0.253 0.500 0.251
Sb: 0.254 0.000 0.752
Sb: 0.746 0.000 0.248
Sb: 0.747 0.500 0.749

Entry from the Alexandria database: a relaxed structure of TbCe2PuSb4 (PBE-GGA).

Summary:
- Calculated density: 7.77 g/cm³
- Space group: P2/m
- ΔE_f (raw): -7.70 eV/f.u.

a = 7.695 Å, b = 4.462 Å, c = 7.732 Å
α = 90.00°, β = 109.54°, γ = 90.00°
Element x y z (fractional)
Tb: 0.000 0.000 0.000
Ce: 0.500 0.000 0.500
Ce: 0.500 0.500 0.000
Pu: 0.000 0.500 0.500
Sb: 0.246 0.000 0.750
Sb: 0.246 0.500 0.248
Sb: 0.754 0.000 0.250
Sb: 0.754 0.500 0.752

no.,total magnetization (μB per formula unit)
1,6.6
2,6.8
3,9.9
4,6.8